A plane-wave DFT calculation with meta-GGA SCAN was carried out for a crystal of SrAgTe2 relaxed with PBEsol.

Output
**Raw total energy**: -131.488 eV/cell

abc: 4.361 4.176 7.016
angles: 90.00 90.41 90.00
Element x y z (fractional)
Sr 0.000 0.000 0.000
Ag 0.500 0.000 0.500
Te 0.499 0.500 0.762
Te 0.501 0.500 0.238